First-principles (GGA-PBE) data for a geometry-optimized SrPm2Sc structure, as listed in Alexandria via LeMat-Bulk.

Unit cell a=3.6012 b=3.6012 c=38.1655 alpha=90.00 beta=90.00 gamma=120.00
Space group R-3m (No. 166, hexagonal axes)
Inequivalent atoms, fractional coordinates:
Sr (0.0000, 0.0000, 0.0000) (multiplicity 3)
Pm (0.0000, 0.0000, 0.0961) (multiplicity 6)
Sc (0.0000, 0.0000, 0.5000) (multiplicity 3)

Calculated values
The calculation puts the energy above the most stable polymorph in this dataset at 141 meV/atom. As for the energy of formation: 0.24 eV per atom.



First-principles (GGA-PBE) data for a geometry-optimized PmSc2Ta structure, as listed in Alexandria via LeMat-Bulk.

Unit cell a=3.1632 b=3.1632 c=33.8020 alpha=90.00 beta=90.00 gamma=120.00
Space group R-3m (No. 166, hexagonal axes)
Inequivalent atoms, fractional coordinates:
Pm (0.0000, 0.0000, 0.0000) (multiplicity 3)
Sc (0.0000, 0.0000, 0.4181) (multiplicity 6)
Ta (0.0000, 0.0000, 0.5000) (multiplicity 3)

Calculated values
The calculation puts the energy above the most stable polymorph in this dataset at 282 meV/atom. As for the energy of formation: 0.52 eV per atom.



First-principles (GGA-PBE) data for a geometry-optimized PmSc2Ta structure, as listed in Alexandria via LeMat-Bulk.

Unit cell a=3.716 b=3.716 c=7.050 alpha=90.00 beta=90.00 gamma=90.00
Space group P4/mmm (No. 123)
Inequivalent atoms, fractional coordinates:
Pm (0.000, 0.000, 0.000) (multiplicity 1)
Sc (0.500, 0.500, 0.296) (multiplicity 2)
Ta (0.000, 0.000, 0.500) (multiplicity 1)

Calculated values
The calculation puts the energy above the most stable polymorph in this dataset at 0 meV/atom. As for the energy of formation: 0.23 eV per atom.



First-principles (GGA-PBE) data for a geometry-optimized Tb5Pm2Sc structure, as listed in Alexandria via LeMat-Bulk.

Unit cell a=16.021 b=9.806 c=6.647 alpha=90.00 beta=102.16 gamma=90.00
Space group C2/c (No. 15)
Inequivalent atoms, fractional coordinates:
Tb (0.000, 0.061, 0.250) (multiplicity 4)
Tb (0.100, 0.403, 0.152) (multiplicity 8)
Tb (0.206, 0.080, 0.050) (multiplicity 8)
Pm (0.088, 0.257, 0.642) (multiplicity 8)
Sc (0.250, 0.250, 0.500) (multiplicity 4)

Calculated values
The calculation puts the energy above the most stable polymorph in this dataset at 95 meV/atom. As for the energy of formation: 0.13 eV per atom.



First-principles (GGA-PBE) data for a geometry-optimized Tb8Pm2Sc structure, as listed in Alexandria via LeMat-Bulk.

Unit cell a=18.098 b=5.020 c=7.947 alpha=90.00 beta=105.35 gamma=90.00
Space group C2/m (No. 12)
Inequivalent atoms, fractional coordinates:
Tb (0.044, 0.000, 0.230) (multiplicity 4)
Tb (0.089, 0.500, 0.949) (multiplicity 4)
Tb (0.134, 0.000, 0.676) (multiplicity 4)
Tb (0.180, 0.500, 0.409) (multiplicity 4)
Pm (0.226, 0.000, 0.137) (multiplicity 4)
Sc (0.000, 0.500, 0.500) (multiplicity 2)

Calculated values
The calculation puts the energy above the most stable polymorph in this dataset at 0 meV/atom. As for the energy of formation: 0.03 eV per atom.



First-principles (GGA-PBE) data for a geometry-optimized Tb3PmSc structure, as listed in Alexandria via LeMat-Bulk.

Unit cell a=6.188 b=5.626 c=9.456 alpha=90.00 beta=109.05 gamma=90.00
Space group P2_1/m (No. 11)
Inequivalent atoms, fractional coordinates:
Tb (0.140, 0.250, 0.096) (multiplicity 2)
Tb (0.274, 0.750, 0.710) (multiplicity 2)
Tb (0.335, 0.250, 0.504) (multiplicity 2)
Pm (0.069, 0.750, 0.298) (multiplicity 2)
Sc (0.465, 0.750, 0.095) (multiplicity 2)

Calculated values
The calculation puts the energy above the most stable polymorph in this dataset at 0 meV/atom. As for the energy of formation: 0.03 eV per atom.



First-principles (GGA-PBE) data for a geometry-optimized Tb2PmSc2 structure, as listed in Alexandria via LeMat-Bulk.

Unit cell a=3.479 b=5.939 c=7.707 alpha=75.48 beta=76.96 gamma=73.05
Space group P-1 (No. 2)
Inequivalent atoms, fractional coordinates:
Tb (0.098, 0.208, 0.096) (multiplicity 2)
Pm (0.500, 0.000, 0.500) (multiplicity 1)
Sc (0.298, 0.597, 0.306) (multiplicity 2)

Calculated values
The calculation puts the energy above the most stable polymorph in this dataset at 0 meV/atom. As for the energy of formation: 0.05 eV per atom.



First-principles (GGA-PBE) data for a geometry-optimized TbPm7Sc2 structure, as listed in Alexandria via LeMat-Bulk.

Unit cell a=8.961 b=15.404 c=5.596 alpha=90.00 beta=90.00 gamma=90.00
Space group Cmmm (No. 65)
Inequivalent atoms, fractional coordinates:
Tb (0.000, 0.000, 0.000) (multiplicity 2)
Pm (0.000, 0.247, 0.000) (multiplicity 4)
Pm (0.000, 0.500, 0.500) (multiplicity 2)
Pm (0.183, 0.121, 0.500) (multiplicity 8)
Sc (0.000, 0.297, 0.500) (multiplicity 4)

Calculated values
The calculation puts the energy above the most stable polymorph in this dataset at 552 meV/atom. As for the energy of formation: 0.61 eV per atom.



First-principles (GGA-PBE) data for a geometry-optimized Tb2PmSc5 structure, as listed in Alexandria via LeMat-Bulk.

Unit cell a=6.872 b=10.776 c=11.922 alpha=90.00 beta=90.00 gamma=90.00
Space group Fmm2 (No. 42)
Inequivalent atoms, fractional coordinates:
Tb (0.000, 0.244, 0.000) (multiplicity 8)
Pm (0.000, 0.000, 0.331) (multiplicity 4)
Sc (0.000, 0.000, 0.829) (multiplicity 4)
Sc (0.248, 0.000, 0.585) (multiplicity 8)
Sc (0.250, 0.250, 0.246) (multiplicity 8)

Calculated values
As for the energy of formation: 0.03 eV per atom.



First-principles (GGA-PBE) data for a geometry-optimized TbPm2Sc3 structure, as listed in Alexandria via LeMat-Bulk.

Unit cell a=9.819 b=11.075 c=6.984 alpha=90.00 beta=112.74 gamma=90.00
Space group C2/c (No. 15)
Inequivalent atoms, fractional coordinates:
Tb (0.000, 0.000, 0.000) (multiplicity 4)
Pm (0.174, 0.266, 0.236) (multiplicity 8)
Sc (0.000, 0.290, 0.750) (multiplicity 4)
Sc (0.165, 0.484, 0.528) (multiplicity 8)

Calculated values
The calculation puts the energy above the most stable polymorph in this dataset at 0 meV/atom. As for the energy of formation: 0.21 eV per atom.



First-principles (GGA-PBE) data for a geometry-optimized Tb2Pm5Sc4 structure, as listed in Alexandria via LeMat-Bulk.

Unit cell a=3.443 b=8.792 c=22.806 alpha=90.00 beta=90.00 gamma=90.00
Space group Immm (No. 71)
Inequivalent atoms, fractional coordinates:
Tb (0.000, 0.000, 0.230) (multiplicity 4)
Pm (0.000, 0.203, 0.359) (multiplicity 8)
Pm (0.000, 0.500, 0.000) (multiplicity 2)
Sc (0.000, 0.000, 0.093) (multiplicity 4)
Sc (0.000, 0.325, 0.500) (multiplicity 4)

Calculated values
As for the energy of formation: 0.15 eV per atom.



First-principles (GGA-PBE) data for a geometry-optimized Tb5Pm2Sc2 structure, as listed in Alexandria via LeMat-Bulk.

Unit cell a=14.883 b=4.958 c=7.885 alpha=90.00 beta=108.41 gamma=90.00
Space group C2/m (No. 12)
Inequivalent atoms, fractional coordinates:
Tb (0.000, 0.000, 0.000) (multiplicity 2)
Tb (0.165, 0.500, 0.002) (multiplicity 4)
Tb (0.220, 0.000, 0.334) (multiplicity 4)
Pm (0.108, 0.000, 0.665) (multiplicity 4)
Sc (0.056, 0.500, 0.337) (multiplicity 4)

Calculated values
The calculation puts the energy above the most stable polymorph in this dataset at 0 meV/atom. As for the energy of formation: 0.04 eV per atom.